[1]
A plane-wave DFT calculation with PBE was carried out for crystalline AcTbPmSm3 at its relaxed geometry.

Summary:
total magnetic moment	0.00	μB/atom
final energy	-54.90	eV for the cell shown
space-group type	No. 63
energy of formation from the pure elements	0.033	eV/atom

abc: 8.2443 8.2443 10.4047
angles: 90.00 90.00 143.22
Positions (direct):
Ac (0.0000, 0.0000, 0.0000)
Ac (0.0000, 0.0000, 0.5000)
Tb (0.1692, 0.8308, 0.7500)
Tb (0.8308, 0.1692, 0.2500)
Pm (0.4996, 0.5004, 0.2500)
Pm (0.5004, 0.4996, 0.7500)
Sm (0.1699, 0.8301, 0.2500)
Sm (0.3294, 0.6706, 0.0005)
Sm (0.3294, 0.6706, 0.4995)
Sm (0.6706, 0.3294, 0.9995)
Sm (0.6706, 0.3294, 0.5005)
Sm (0.8301, 0.1699, 0.7500)

=====

[2]
A plane-wave DFT calculation with PBE was carried out for crystalline Sr3BeSn at its relaxed geometry.

Summary:
total magnetic moment	0.00	μB/atom
final energy	-11.91	eV for the cell shown
space-group type	No. 221
energy of formation from the pure elements	0.172	eV/atom

abc: 5.7514 5.7514 5.7514
angles: 90.00 90.00 90.00
Positions (direct):
Sr (0.0000, 0.0000, 0.5000)
Sr (0.0000, 0.5000, 0.0000)
Sr (0.5000, 0.0000, 0.0000)
Be (0.0000, 0.0000, 0.0000)
Sn (0.5000, 0.5000, 0.5000)

=====

[3]
A plane-wave DFT calculation with PBE was carried out for crystalline CaMg2Ag at its relaxed geometry.

Summary:
total magnetic moment	0.00	μB/atom
final energy	-7.91	eV for the cell shown
space-group type	No. 166
energy of formation from the pure elements	0.034	eV/atom

abc: 9.2413 9.2413 9.2413
angles: 23.32 23.32 23.32
Positions (direct):
Ca (0.0000, 0.0000, 0.0000)
Mg (0.2315, 0.2315, 0.2315)
Mg (0.7685, 0.7685, 0.7685)
Ag (0.5000, 0.5000, 0.5000)